La2SnPdC | PBE | optimized geometry

Cell: 5.437 5.437 4.054 Å, 90.00 90.00 90.00°
Positions (direct):
La 0.000 0.500 0.000
La 0.500 0.000 0.000
Sn 0.000 0.000 0.500
Pd 0.500 0.500 0.500
C 0.500 0.500 0.000

The calculation puts the density of states at the Fermi level at 1.017 states/eV/atom. Its final energy is -6.054 eV per atom. For the formation energy, the calculation gives -399 meV/atom. For the total magnetic moment, the calculation gives 0.00 μB per cell. As for the space group: No. 123.